{"formula": "K2MnFeO", "functional": "PBE with a Hubbard U", "state": "relaxed", "dft_energy_ev_per_atom": -3.964, "space_group": "P4/mmm (123)", "lattice": [[6.7147, 0.0000, 0.0000], [0.0000, 6.7147, 0.0000], [0.0000, 0.0000, 3.7088]], "species": ["K", "K", "Mn", "Fe", "O"], "fractional_positions": [[0.0000, 0.5000, 0.0000], [0.5000, 0.0000, 0.0000], [0.0000, 0.0000, 0.0000], [0.5000, 0.5000, 0.5000], [0.0000, 0.0000, 0.5000]]}